Entry 1:
16
Lattice="3.690 0.000 0.000 0.000 24.692 0.000 0.000 0.000 3.882" Properties=species:S:1:pos:R:3 comment="MgHgS2 PBE relaxed" crystal_system=orthorhombic formation_energy_uncorrected_ev_per_atom=-0.45 polymorph_energy_ev_per_atom=0.322 sg=Cmcm pbc="T T T"
Mg 0.000 4.749 0.971
Mg 0.000 19.943 2.912
Mg 1.845 7.597 2.912
Mg 1.845 17.095 0.971
Hg 0.000 11.288 0.971
Hg 0.000 13.404 2.912
Hg 1.845 1.058 2.912
Hg 1.845 23.634 0.971
S 0.000 7.350 0.971
S 0.000 9.712 2.912
S 0.000 14.979 0.971
S 0.000 17.342 2.912
S 1.845 2.634 0.971
S 1.845 4.996 2.912
S 1.845 19.696 0.971
S 1.845 22.058 2.912



Entry 2:
4
Lattice="4.146 0.000 0.000 -2.072 3.593 0.000 0.000 -0.004 6.704" Properties=species:S:1:pos:R:3 comment="MgHgS2 PBE relaxed" crystal_system=triclinic formation_energy_uncorrected_ev_per_atom=-0.76 polymorph_energy_ev_per_atom=0.006 sg=P1 pbc="T T T"
Mg 0.000 0.000 0.000
Hg 0.007 2.377 3.427
S 0.001 2.389 6.014
S 2.079 3.578 2.476



Entry 3:
12
Lattice="7.251 0.000 0.000 0.000 4.191 0.000 -2.417 0.000 11.527" Properties=species:S:1:pos:R:3 comment="MgHgS PBE relaxed" crystal_system=monoclinic formation_energy_uncorrected_ev_per_atom=-0.86 polymorph_energy_ev_per_atom=0.007 sg=C2 pbc="T T T"
Mg 1.211 0.000 1.124
Mg -0.003 2.096 10.403
Mg 4.837 2.096 1.124
Mg 3.623 0.000 10.403
Hg 0.001 2.157 6.971
Hg 1.207 0.062 4.556
Hg 3.627 0.062 6.971
Hg 4.833 2.157 4.556
S -1.209 4.191 10.062
S 2.418 2.095 1.465
S 2.416 2.095 10.062
S 6.043 4.191 1.465



Entry 4:
6
Lattice="3.601 0.000 0.000 0.000 11.330 0.000 0.000 0.000 3.601" Properties=species:S:1:pos:R:3 comment="MgHgS PBE relaxed" crystal_system=orthorhombic formation_energy_uncorrected_ev_per_atom=-0.87 polymorph_energy_ev_per_atom=0.000 sg=Pmn2_1 pbc="T T T"
Mg 0.000 1.149 0.000
Mg 1.801 10.181 1.801
Hg 0.000 4.429 3.586
Hg 1.801 6.901 1.786
S 0.000 9.910 0.000
S 1.801 1.421 1.801